Record 1
A geometry-optimized PrPaRu4 structure. Source: Alexandria, functional PBE-GGA.

Lattice parameters (Å, degrees): 5.3777 5.3777 5.3777 60.00 60.00 60.00
Closest atoms and distances in Å follow each position.
Atoms (fractional coordinates):
Pr  0.0000  0.0000  0.0000  12 Ru 3.15, 4 Pa 3.29
Pa  0.2500  0.2500  0.2500  12 Ru 3.15, 4 Pr 3.29
Ru  0.1256  0.6248  0.6248  6 Ru 2.68-2.69
Ru  0.6248  0.1256  0.6248  6 Ru 2.68-2.69
Ru  0.6248  0.6248  0.1256  6 Ru 2.68-2.69
Ru  0.6248  0.6248  0.6248  6 Ru 2.68-2.69

Results
The value obtained for the total moment is 0.00 μB per formula unit. The theoretical density is 11.721 Mg/m³. The calculation puts the formation energy at -18.2 kJ per mole of atoms. As for the space group: No. 216.

Record 2
A geometry-optimized IrI2BrO structure. Source: Alexandria, functional PBE-GGA.

Lattice parameters (Å, degrees): 5.8005 5.8005 3.7259 90.00 90.00 90.00
Closest atoms and distances in Å follow each position.
Atoms (fractional coordinates):
Ir  0.0000  0.0000  0.0000  8 I 3.45, 2 Ir 3.73
I  0.0000  0.5000  0.5000  2 Br 2.90
I  0.5000  0.0000  0.5000  2 Br 2.90
Br  0.5000  0.5000  0.5000  2 O 1.86
O  0.5000  0.5000  0.0000  2 Br 1.86

Results
The value obtained for the energy above the lowest structure with this stoichiometry is 1276 meV/atom. The value obtained for the total moment is 1.79 μB per formula unit. The theoretical density is 7.178 Mg/m³. As for the space group: No. 123.

Record 3
A geometry-optimized Zr2TiTlO structure. Source: Alexandria, functional PBE-GGA.

Lattice parameters (Å, degrees): 4.6554 4.6554 4.0347 90.00 90.00 90.00
Closest atoms and distances in Å follow each position.
Atoms (fractional coordinates):
Zr  0.0000  0.5000  0.0000  2 O 2.33
Zr  0.5000  0.0000  0.0000  2 O 2.33
Ti  0.0000  0.0000  0.5000  2 O 2.02
Tl  0.5000  0.5000  0.5000  8 Zr 3.08, 4 Ti 3.29
O  0.0000  0.0000  0.0000  2 Ti 2.02

Results
Its total energy is -7.5054 eV/atom. The value obtained for the total moment is 0.00 μB per formula unit. The theoretical density is 8.559 Mg/m³. As for the space group: No. 123.

Which formula does entry 2 have? IrI2BrO